Cs2Cl | PBE | optimized geometry

Geometry as CIF:
```
data_Cs2Cl
_cell_length_a 5.077
_cell_length_b 7.217
_cell_length_c 11.234
_cell_angle_alpha 90.00
_cell_angle_beta 103.06
_cell_angle_gamma 90.00
_space_group_name_H-M_alt 'P 1'
_space_group_IT_number 1
loop_
_space_group_symop_operation_xyz
'x,y,z'
loop_
_atom_site_label
_atom_site_type_symbol
_atom_site_fract_x
_atom_site_fract_y
_atom_site_fract_z
_atom_site_occupancy
Cs1 Cs 0.693 0.250 0.386 1
Cs2 Cs 0.921 0.250 0.842 1
Cs3 Cs 0.079 0.750 0.158 1
Cs4 Cs 0.307 0.750 0.614 1
Cl1 Cl 0.305 0.250 0.609 1
Cl2 Cl 0.695 0.750 0.391 1
```

Crystal system = orthorhombic
Final energy = -14.64 eV/cell
ΔE_f (raw) = -3.8 eV per formula unit